1.
DFT (GGA-PBE) results for a relaxed TeHPt2 crystal.

a b c (Å): 4.614 4.614 5.161
angles (deg): 63.45 63.45 60.00
Fractional coordinates of all 4 atoms:
Pt1 0.871 0.871 0.387
Pt2 0.129 0.129 0.613
H1 0.000 0.000 0.000
Te1 0.500 0.500 0.500

* energy: -4.570 eV/atom
* ΔE to the lowest computed polymorph: 83 meV/atom
* theoretical density: 10.571 g/cm³
* crystal system: trigonal

=====

2.
DFT (GGA-PBE) results for a relaxed DyEr3Th4S8 crystal.

a b c (Å): 7.766 8.078 7.766
angles (deg): 118.73 120.00 90.00
Fractional coordinates of all 16 atoms:
S1 0.245 0.731 0.987
S2 0.257 0.270 0.513
S3 0.742 0.731 0.987
S4 0.755 0.269 0.013
S5 0.245 0.731 0.489
S6 0.743 0.730 0.487
S7 0.258 0.269 0.013
S8 0.755 0.269 0.511
Er1 0.000 0.500 0.500
Er2 0.500 0.500 0.000
Er3 0.500 0.500 0.500
Th1 0.000 0.000 0.000
Th2 0.000 0.000 0.500
Th3 0.500 0.000 0.500
Th4 0.500 0.000 0.000
Dy1 0.000 0.500 0.000

* energy: -6.965 eV/atom
* E_form (uncorrected): -30.46 eV per formula unit
* theoretical density: 8.747 g/cm³
* crystal system: trigonal